[1]
A plane-wave DFT calculation with PBE-GGA was carried out for a geometry-optimized SrCa2Pb structure.

Results
Energy of formation: -0.270 eV per atom
Calculated total energy: -2.62 eV per atom
Total magnetic moment: 0.00 μB/cell
D(E_F): 2.8 states/eV per cell

Cell and atoms, written as POSCAR:
```
SrCa2Pb
1.0
3.9699 0.0000 0.0000
0.0000 4.7463 0.0000
0.0000 0.0000 7.9768
Sr Ca Pb
1 2 1
Cartesian
0.0000 0.0000 0.0000
0.0000 0.0000 4.5443
1.9849 2.3731 2.4909
1.9849 2.3731 6.0453
```

[2]
A plane-wave DFT calculation with PBE-GGA was carried out for a geometry-optimized Sr2CaPb structure.

Results
Energy of formation: -0.275 eV per atom
Calculated total energy: -2.54 eV per atom
Total magnetic moment: 1.49 μB/cell
D(E_F): 8.4 states/eV per cell

Cell and atoms, written as POSCAR:
```
Sr2CaPb
1.0
4.1490 0.0000 0.0000
0.0000 6.0610 0.0000
0.0000 0.0000 13.0536
Sr Ca Pb
4 2 2
Cartesian
0.0000 0.0000 0.0000
0.0000 3.0305 2.6434
2.0745 0.0000 9.1703
2.0745 3.0305 6.5268
0.0000 3.0305 10.3807
2.0745 0.0000 3.8539
0.0000 0.0000 6.3878
2.0745 3.0305 12.9146
```

[3]
A plane-wave DFT calculation with PBE-GGA was carried out for a geometry-optimized Sr3Ca4Pb4 structure.

Results
Energy of formation: -0.521 eV per atom
Calculated total energy: -3.06 eV per atom
Total magnetic moment: 0.00 μB/cell
D(E_F): 3.1 states/eV per cell

Cell and atoms, written as POSCAR:
```
Sr3Ca4Pb4
1.0
-2.6059 4.3073 8.8614
2.6059 -4.3073 8.8614
2.6059 4.3073 -8.8614
Sr Ca Pb
3 4 4
Cartesian
0.0000 0.0000 0.0000
2.6059 0.0000 6.9223
0.0000 4.3073 1.9390
2.6059 1.7754 -3.0862
2.6059 1.7754 3.0862
0.0000 2.5319 5.7752
0.0000 2.5319 11.9475
0.0000 0.0000 3.7898
2.6059 2.6683 0.0000
0.0000 1.6390 8.8614
0.0000 0.0000 13.9330
```

[4]
A plane-wave DFT calculation with PBE-GGA was carried out for a geometry-optimized SrCa2Pb structure.

Results
Energy of formation: -0.246 eV per atom
Calculated total energy: -2.59 eV per atom
Total magnetic moment: 0.00 μB/cell
D(E_F): 2.7 states/eV per cell

Cell and atoms, written as POSCAR:
```
SrCa2Pb
1.0
4.0480 0.0000 0.0000
0.0000 5.2231 0.0000
-1.5108 0.0000 7.1828
Sr Ca Pb
1 2 1
Cartesian
0.0000 0.0000 0.0000
0.5029 2.6115 5.1527
2.0343 2.6115 2.0301
-0.7554 0.0000 3.5914
```

> Among the records above, which one has the lowest D(E_F)?

number 4

> Number 2 is which compound?

Sr2CaPb